1.
{
  "formula": "AlV6Ge4",
  "functional": "PBE",
  "state": "optimized geometry",
  "cell": [[6.335, 0.101, 0.149], [-2.839, 5.664, -0.149], [-2.839, -2.221, 5.212]],
  "species": ["Ge", "Ge", "Ge", "Ge", "V", "V", "V", "V", "V", "V", "Al"],
  "fractional_positions": [[0.466, 0.836, 0.836], [0.534, 0.370, 0.370], [0.000, 0.164, 0.630], [0.000, 0.630, 0.164], [0.000, 0.541, 0.783], [0.500, 0.500, 0.000], [0.500, 0.000, 0.500], [0.241, 0.459, 0.459], [0.759, 0.217, 0.217], [0.000, 0.783, 0.541], [0.000, 0.000, 0.000]],
  "m_tot_mub_per_cell": 3.13,
  "dft_energy_ev_per_cell": -73.99,
  "delta_e_f_ev_per_atom": 0.267,
  "dos_ef_per_ev_atom": 0.805
}

2.
{
  "formula": "Al3V2Ge",
  "functional": "PBE",
  "state": "optimized geometry",
  "cell": [[3.398, 0.000, 0.000], [-1.699, 8.465, -0.323], [0.000, -4.262, 6.763]],
  "species": ["Ge", "Ge", "Al", "Al", "Al", "Al", "Al", "Al", "V", "V", "V", "V"],
  "fractional_positions": [[0.888, 0.776, 0.905], [0.112, 0.224, 0.095], [0.060, 0.120, 0.445], [0.691, 0.381, 0.498], [0.629, 0.258, 0.779], [0.371, 0.742, 0.221], [0.940, 0.880, 0.555], [0.309, 0.619, 0.502], [0.488, 0.976, 0.846], [0.512, 0.024, 0.154], [0.735, 0.470, 0.180], [0.265, 0.530, 0.820]],
  "m_tot_mub_per_cell": 0.00,
  "dft_energy_ev_per_cell": -68.26,
  "delta_e_f_ev_per_atom": -0.008,
  "dos_ef_per_ev_atom": 0.594
}